[1]
Material: Pr2Dy2ErTm2
Method: DFT, PBE-GGA
State: optimized geometry

Unit cell a=6.111 b=6.111 c=11.825 alpha=108.44 beta=108.44 gamma=33.40
Positions (direct):
Pr1 0.171 0.171 0.086
Pr2 0.829 0.829 0.914
Dy1 0.049 0.049 0.767
Dy2 0.951 0.951 0.233
Er1 0.500 0.500 0.500
Tm1 0.273 0.273 0.634
Tm2 0.727 0.727 0.366

Summary:
As for the space-group type: C2/m, No. 12. The size of the total moment comes out at 0.0 μB per formula unit. The energy of formation from the pure elements is 8.29 kJ/mol of atoms.



[2]
Material: PrDy2Er2Tm2
Method: DFT, PBE-GGA
State: optimized geometry

Unit cell a=8.943 b=8.943 c=8.316 alpha=116.10 beta=116.10 gamma=22.44
Positions (direct):
Pr1 0.000 0.000 0.000
Dy1 0.428 0.428 0.586
Dy2 0.572 0.572 0.414
Er1 0.212 0.212 0.298
Er2 0.788 0.788 0.702
Tm1 0.350 0.350 0.108
Tm2 0.650 0.650 0.892

Summary:
As for the space-group type: C2/m, No. 12. The size of the total moment comes out at 0.0 μB per formula unit. The energy of formation from the pure elements is 14.64 kJ/mol of atoms.



[3]
Material: PrDy2Er6Tm3
Method: DFT, PBE-GGA
State: optimized geometry

Unit cell a=6.101 b=6.101 c=11.675 alpha=94.99 beta=94.99 gamma=119.94
Positions (direct):
Pr1 0.000 0.000 0.000
Dy1 0.333 0.667 0.000
Dy2 0.667 0.333 0.000
Er1 0.085 0.419 0.253
Er2 0.249 0.249 0.747
Er3 0.419 0.085 0.253
Er4 0.581 0.915 0.747
Er5 0.751 0.751 0.253
Er6 0.915 0.581 0.747
Tm1 0.167 0.833 0.500
Tm2 0.500 0.500 0.500
Tm3 0.833 0.167 0.500

Summary:
As for the space-group type: C2/m, No. 12. The size of the total moment comes out at 0.0 μB per formula unit. The energy of formation from the pure elements is 2.26 kJ/mol of atoms.